A plane-wave DFT calculation with PBE+U was carried out for RbNiO2 after structural relaxation.

- SG = C2/c, No. 15
- total DFT energy (no corrections) (eV per cell) = -33.84

Lattice parameters (Å, degrees): 6.060 5.071 6.060 106.27 71.06 73.71
Positions (direct):
Ni: 0.593 0.357 0.972
Ni: 0.568 0.857 0.947
O: 0.501 0.735 0.221
O: 0.319 0.235 0.038
O: 0.659 0.479 0.698
O: 0.842 0.979 0.880
Rb: 0.931 0.857 0.310
Rb: 0.230 0.357 0.609